This record from Alexandria describes a relaxed structure of SrCaAu3. The functional is GGA-PBEsol.

Computed properties:
Calculated total energy: -3.2880 eV per atom
Magnetic moment: 0.00 μB/cell
Theoretical density: 8.1 g cm⁻³

Lattice parameters (Å, degrees): 5.2713 5.2713 5.2713 90.00 90.00 90.00
Space group Pm-3m (No. 221)
Inequivalent atoms, fractional coordinates:
Sr: 0.0000 0.0000 0.0000 (multiplicity 1)
Ca: 0.5000 0.5000 0.5000 (multiplicity 1)
Au: 0.0000 0.5000 0.5000 (multiplicity 3)

This record from Alexandria describes a relaxed structure of HgSbP. The functional is GGA-PBEsol.

Computed properties:
Magnetic moment: 0.00 μB/cell
Theoretical density: 8.6 g cm⁻³
Formation energy (no corrections): 277 meV per atom

Lattice parameters (Å, degrees): 3.4428 3.4428 11.5368 90.00 90.00 90.00
Space group I4mm (No. 107)
Inequivalent atoms, fractional coordinates:
Hg: 0.0000 0.0000 0.0000 (multiplicity 2)
Sb: 0.0000 0.0000 0.2886 (multiplicity 2)
P: 0.0000 0.0000 0.6849 (multiplicity 2)

This record from Alexandria describes a relaxed structure of MoP4. The functional is GGA-PBEsol.

Computed properties:
Calculated total energy: -7.3735 eV per atom
Magnetic moment: 0.00 μB/cell
Theoretical density: 4.6 g cm⁻³

Lattice parameters (Å, degrees): 5.2896 11.1100 5.7715 90.00 110.50 90.00
Space group C2/c (No. 15)
Inequivalent atoms, fractional coordinates:
Mo: 0.0000 0.0578 0.2500 (multiplicity 4)
P: 0.2213 0.4043 0.3179 (multiplicity 8)
P: 0.2229 0.2799 0.8099 (multiplicity 8)

This record from Alexandria describes a relaxed structure of Li3FeN2. The functional is GGA-PBEsol.

Computed properties:
Magnetic moment: 2.12 μB/cell
Theoretical density: 3.4 g cm⁻³
Formation energy (no corrections): -500 meV per atom

Lattice parameters (Å, degrees): 4.7401 9.3737 4.6059 90.00 90.00 90.00
Space group Ibam (No. 72)
Inequivalent atoms, fractional coordinates:
Li: 0.0000 0.0000 0.2500 (multiplicity 4)
Li: 0.0000 0.2428 0.2500 (multiplicity 8)
Fe: 0.0000 0.5000 0.2500 (multiplicity 4)
N: 0.2198 0.3868 0.0000 (multiplicity 8)